Entry 1:
The following is a DFT calculation (PBE) of a geometry-optimized TbGePbSe3 structure.

Cell: 7.5165 7.5165 10.5290 Å, 90.00 90.00 147.48°
Atoms (fractional coordinates):
Tb 0.0000 0.0000 0.0000
Tb 0.0000 0.0000 0.5000
Ge 0.4518 0.5482 0.7500
Ge 0.5482 0.4518 0.2500
Pb 0.2545 0.7455 0.2500
Pb 0.7455 0.2545 0.7500
Se 0.0991 0.9009 0.7500
Se 0.3597 0.6403 0.5363
Se 0.3597 0.6403 0.9637
Se 0.6403 0.3597 0.0363
Se 0.6403 0.3597 0.4637
Se 0.9009 0.0991 0.2500

Summary:
theoretical density: 7.0 g cm⁻³
M_tot: 0.00 μB/f.u.
SG: Cmcm, No. 63
DFT total energy: -4.65 eV per atom

***

Entry 2:
The following is a DFT calculation (PBE) of a geometry-optimized TbDyGe2Pb2 structure.

Cell: 4.0887 8.6468 8.6468 Å, 29.76 90.00 90.00°
Atoms (fractional coordinates):
Tb 0.0000 0.0000 0.0000
Dy 0.5000 0.1802 0.1802
Ge 0.0000 0.6434 0.6434
Ge 0.5000 0.5382 0.5382
Pb 0.0000 0.3545 0.3545
Pb 0.5000 0.8250 0.8250

Summary:
theoretical density: 9.6 g cm⁻³
M_tot: 0.01 μB/f.u.
SG: Amm2, No. 38
DFT total energy: -4.81 eV per atom

***

Entry 3:
The following is a DFT calculation (PBE) of a geometry-optimized LiHfGaIr structure.

Cell: 4.4846 4.4846 4.4846 Å, 60.00 60.00 60.00°
Atoms (fractional coordinates):
Li 0.0000 0.0000 0.0000
Hf 0.5000 0.5000 0.5000
Ga 0.2500 0.2500 0.2500
Ir 0.7500 0.7500 0.7500

Summary:
theoretical density: 11.6 g cm⁻³
M_tot: 0.00 μB/f.u.
distance to the lowest polymorph of the same formula: 0.165 eV per atom
SG: F-43m, No. 216
DFT total energy: -6.43 eV per atom